# PBE LiAcPmSm, relaxed
data_LiAcPmSm
_chemical_formula_sum 'Li1 Ac1 Pm1 Sm1'
_symmetry_space_group_name_H-M 'P 1'
_symmetry_Int_Tables_number 1
_cell_length_a 5.782
_cell_length_b 5.782
_cell_length_c 5.782
_cell_angle_alpha 60.00
_cell_angle_beta 60.00
_cell_angle_gamma 60.00
loop_
_symmetry_equiv_pos_as_xyz
'x,y,z'
loop_
_atom_site_label
_atom_site_fract_x
_atom_site_fract_y
_atom_site_fract_z
Ac1 0.500 0.500 0.500
Li1 0.000 0.000 0.000
Sm1 0.750 0.750 0.750
Pm1 0.250 0.250 0.250
# Total DFT energy (no corrections) ... -3.64 eV per atom
# Volume ... 136.7 Å³/cell
# Symmetry ... F-43m, No. 216

***

# PBE PmNd5Sc3, relaxed
data_PmNd5Sc3
_chemical_formula_sum 'Pm2 Nd10 Sc6'
_symmetry_space_group_name_H-M 'P 1'
_symmetry_Int_Tables_number 1
_cell_length_a 9.473
_cell_length_b 9.473
_cell_length_c 11.404
_cell_angle_alpha 52.35
_cell_angle_beta 52.35
_cell_angle_gamma 74.55
loop_
_symmetry_equiv_pos_as_xyz
'x,y,z'
loop_
_atom_site_label
_atom_site_fract_x
_atom_site_fract_y
_atom_site_fract_z
Pm1 0.176 0.176 0.598
Pm2 0.824 0.824 0.402
Nd1 0.855 0.349 0.532
Nd2 0.253 0.747 0.000
Nd3 0.836 0.836 0.912
Nd4 0.505 0.505 0.224
Nd5 0.495 0.495 0.776
Nd6 0.164 0.164 0.088
Nd7 0.349 0.855 0.532
Nd8 0.747 0.253 0.000
Nd9 0.145 0.651 0.468
Nd10 0.651 0.145 0.468
Sc1 0.682 0.682 0.812
Sc2 0.659 0.659 0.329
Sc3 0.000 0.000 0.000
Sc4 0.000 0.000 0.500
Sc5 0.318 0.318 0.188
Sc6 0.341 0.341 0.671
# Total DFT energy (no corrections) ... -4.86 eV per atom
# Volume ... 632.3 Å³/cell
# Symmetry ... C2/m, No. 12

***

# PBE RbBaPu2O8, relaxed
data_RbBaPu2O8
_chemical_formula_sum 'Rb1 Ba1 Pu2 O8'
_symmetry_space_group_name_H-M 'P 1'
_symmetry_Int_Tables_number 1
_cell_length_a 6.380
_cell_length_b 6.380
_cell_length_c 7.574
_cell_angle_alpha 90.00
_cell_angle_beta 90.00
_cell_angle_gamma 120.00
loop_
_symmetry_equiv_pos_as_xyz
'x,y,z'
loop_
_atom_site_label
_atom_site_fract_x
_atom_site_fract_y
_atom_site_fract_z
Rb1 0.000 0.000 0.500
Ba1 0.000 0.000 0.000
Pu1 0.667 0.333 0.044
Pu2 0.333 0.667 0.956
O1 0.937 0.598 0.884
O2 0.402 0.339 0.884
O3 0.661 0.063 0.884
O4 0.063 0.402 0.116
O5 0.598 0.661 0.116
O6 0.339 0.937 0.116
O7 0.667 0.333 0.291
O8 0.333 0.667 0.709
# Total DFT energy (no corrections) ... -8.02 eV per atom
# Volume ... 267.0 Å³/cell
# Symmetry ... P-3, No. 147

***

# PBE La6IrRu, relaxed
data_La6IrRu
_chemical_formula_sum 'La6 Ir1 Ru1'
_symmetry_space_group_name_H-M 'P 1'
_symmetry_Int_Tables_number 1
_cell_length_a 6.947
_cell_length_b 6.947
_cell_length_c 7.821
_cell_angle_alpha 63.61
_cell_angle_beta 63.65
_cell_angle_gamma 60.01
loop_
_symmetry_equiv_pos_as_xyz
'x,y,z'
loop_
_atom_site_label
_atom_site_fract_x
_atom_site_fract_y
_atom_site_fract_z
La1 0.082 0.414 0.752
La2 0.751 0.081 0.753
La3 0.586 0.249 0.247
La4 0.249 0.919 0.247
La5 0.918 0.586 0.248
La6 0.414 0.751 0.753
Ir1 0.500 0.500 0.500
Ru1 0.000 0.000 0.000
# Total DFT energy (no corrections) ... -6.29 eV per atom
# Volume ... 280.6 Å³/cell
# Symmetry ... R-3, No. 148

***

# PBE ZnCd2Pd5, relaxed
data_ZnCd2Pd5
_chemical_formula_sum 'Zn1 Cd2 Pd5'
_symmetry_space_group_name_H-M 'P 1'
_symmetry_Int_Tables_number 1
_cell_length_a 4.295
_cell_length_b 4.295
_cell_length_c 7.666
_cell_angle_alpha 106.27
_cell_angle_beta 106.27
_cell_angle_gamma 90.00
loop_
_symmetry_equiv_pos_as_xyz
'x,y,z'
loop_
_atom_site_label
_atom_site_fract_x
_atom_site_fract_y
_atom_site_fract_z
Zn1 0.000 0.000 0.000
Cd1 0.750 0.750 0.499
Cd2 0.250 0.250 0.501
Pd1 0.500 0.500 0.000
Pd2 0.882 0.382 0.764
Pd3 0.382 0.882 0.764
Pd4 0.118 0.618 0.236
Pd5 0.618 0.118 0.236
# Total DFT energy (no corrections) ... -4.00 eV per atom
# Volume ... 129.8 Å³/cell
# Symmetry ... I4/mmm, No. 139

***

# PBE Te2IrBr, relaxed
data_Te2IrBr
_chemical_formula_sum 'Te2 Ir1 Br1'
_symmetry_space_group_name_H-M 'P 1'
_symmetry_Int_Tables_number 1
_cell_length_a 3.545
_cell_length_b 3.545
_cell_length_c 8.995
_cell_angle_alpha 90.00
_cell_angle_beta 90.00
_cell_angle_gamma 90.00
loop_
_symmetry_equiv_pos_as_xyz
'x,y,z'
loop_
_atom_site_label
_atom_site_fract_x
_atom_site_fract_y
_atom_site_fract_z
Ir1 0.500 0.500 0.933
Te1 0.000 0.000 0.827
Te2 0.500 0.500 0.217
Br1 0.000 0.000 0.523
# Total DFT energy (no corrections) ... -3.99 eV per atom
# Volume ... 113.0 Å³/cell
# Offset from the most stable computed form ... 1.92 eV/f.u.
# Symmetry ... P4mm, No. 99

***

# PBE La2MoPt, relaxed
data_La2MoPt
_chemical_formula_sum 'La2 Mo1 Pt1'
_symmetry_space_group_name_H-M 'P 1'
_symmetry_Int_Tables_number 1
_cell_length_a 4.993
_cell_length_b 4.993
_cell_length_c 4.993
_cell_angle_alpha 60.00
_cell_angle_beta 60.00
_cell_angle_gamma 60.00
loop_
_symmetry_equiv_pos_as_xyz
'x,y,z'
loop_
_atom_site_label
_atom_site_fract_x
_atom_site_fract_y
_atom_site_fract_z
La1 0.000 0.000 0.000
La2 0.250 0.250 0.250
Mo1 0.500 0.500 0.500
Pt1 0.750 0.750 0.750
# Total DFT energy (no corrections) ... -6.64 eV per atom
# Volume ... 88.0 Å³/cell
# Offset from the most stable computed form ... 1.06 eV/f.u.
# Symmetry ... F-43m, No. 216

***

# PBE SiRu2, relaxed
data_SiRu2
_chemical_formula_sum 'Si4 Ru8'
_symmetry_space_group_name_H-M 'P 1'
_symmetry_Int_Tables_number 1
_cell_length_a 11.502
_cell_length_b 11.502
_cell_length_c 11.502
_cell_angle_alpha 160.79
_cell_angle_beta 160.79
_cell_angle_gamma 27.29
loop_
_symmetry_equiv_pos_as_xyz
'x,y,z'
loop_
_atom_site_label
_atom_site_fract_x
_atom_site_fract_y
_atom_site_fract_z
Ru1 0.756 0.756 0.000
Ru2 0.244 0.244 0.000
Ru3 0.006 0.506 0.500
Ru4 0.494 0.994 0.500
Ru5 0.590 0.590 0.000
Ru6 0.410 0.410 0.000
Ru7 0.840 0.340 0.500
Ru8 0.660 0.160 0.500
Si1 0.926 0.926 0.000
Si2 0.074 0.074 0.000
Si3 0.176 0.676 0.500
Si4 0.324 0.824 0.500
# Total DFT energy (no corrections) ... -8.10 eV per atom
# Volume ... 164.6 Å³/cell
# Symmetry ... I4_1/amd, No. 141